Compound: HfSeI2N
Source: Alexandria via LeMat-Bulk
Functional: SCAN
Structure: PBEsol geometry

Lattice parameters (Å, degrees): 5.7122 5.7122 5.0024 90.00 90.00 90.00
Last column: nearest neighbours and their distance in Å.
Atoms (fractional coordinates):
Hf1 0.0000 0.0000 0.0000  2 Se 2.50
Se1 0.0000 0.0000 0.5000  2 Hf 2.50
I1 0.0000 0.5000 0.0000  2 Hf 2.86
I2 0.5000 0.0000 0.0000  2 Hf 2.86
N1 0.5000 0.5000 0.5000  8 I 3.80, 4 Se 4.04

Space-group type: P4/mmm, No. 123
Formation energy (no corrections): 0.285 eV per atom
Final energy: -32.820 eV per atom